[1]
# PBE LaPm8Ge6, relaxed
data_LaPm8Ge6
_symmetry_space_group_name_H-M 'P 1'
_symmetry_Int_Tables_number 1
_symmetry_space_group_name_Hall 'P 1'
_cell_length_a 7.985
_cell_length_b 7.985
_cell_length_c 9.383
_cell_angle_alpha 64.82
_cell_angle_beta 64.82
_cell_angle_gamma 60.00
loop_
_atom_site_label
_atom_site_fract_x
_atom_site_fract_y
_atom_site_fract_z
_atom_site_occupancy
Ge1 0.267 0.592 0.212 1
Ge2 0.408 0.071 0.788 1
Ge3 0.592 0.929 0.212 1
Ge4 0.071 0.733 0.788 1
Ge5 0.929 0.267 0.212 1
Ge6 0.733 0.408 0.788 1
Pm1 0.789 0.119 0.643 1
Pm2 0.667 0.667 0.000 1
Pm3 0.551 0.211 0.357 1
Pm4 0.333 0.333 0.000 1
Pm5 0.211 0.881 0.357 1
Pm6 0.881 0.551 0.357 1
Pm7 0.119 0.449 0.643 1
Pm8 0.449 0.789 0.643 1
La1 0.000 0.000 0.000 1
# - magnetization (μB/atom) = 0.000
# - uncorrected energy (eV for the cell shown) = -79.87
# - D(E_F) (states/eV per atom) = 0.549
# - theoretical density (g/cm³) = 6.38
# - crystal system = trigonal
# - space-group type = No. 148
# - V (Å³/cell) = 451.3
# - DFT formation energy (kJ per mole of atoms) = -59


[2]
# PBE La2PmGe, relaxed
data_La2PmGe
_symmetry_space_group_name_H-M 'P 1'
_symmetry_Int_Tables_number 1
_symmetry_space_group_name_Hall 'P 1'
_cell_length_a 5.504
_cell_length_b 5.504
_cell_length_c 5.504
_cell_angle_alpha 60.00
_cell_angle_beta 60.00
_cell_angle_gamma 60.00
loop_
_atom_site_label
_atom_site_fract_x
_atom_site_fract_y
_atom_site_fract_z
_atom_site_occupancy
La1 0.750 0.750 0.750 1
La2 0.250 0.250 0.250 1
Pm1 0.000 0.000 0.000 1
Ge1 0.500 0.500 0.500 1
# - magnetization (μB/atom) = 0.000
# - uncorrected energy (eV for the cell shown) = -19.80
# - D(E_F) (states/eV per atom) = 1.482
# - theoretical density (g/cm³) = 6.98
# - crystal system = cubic
# - space-group type = No. 225
# - V (Å³/cell) = 117.9
# - DFT formation energy (kJ per mole of atoms) = -14